# 1
The following is a DFT calculation (PBE) of crystalline Rb3Na4Au2 at its relaxed geometry.

extended XYZ file:
```
9
Lattice="-4.259 -2.299 -0.281 0.125 -4.448 -7.275 2.614 -10.070 0.862" Properties=species:S:1:pos:R:3 pbc="T T T"
Rb -1.078 -8.172 -0.501
Rb 0.000 0.000 0.000
Rb -0.441 -8.645 -6.192
Na -1.289 -2.391 -2.707
Na -1.824 -11.507 -3.651
Na 0.305 -5.310 -3.042
Na -0.230 -14.426 -3.986
Au -2.624 -5.140 -1.857
Au 1.104 -11.677 -4.836
```

Results
size of the total moment: 0.0 μB per cell
ΔE_f: -0.14 eV/atom
calculated total energy: -1.776 eV per atom
D(E_F): 0.37 states/eV/atom

=====

# 2
The following is a DFT calculation (PBE) of crystalline La4Tl2HgPb at its relaxed geometry.

extended XYZ file:
```
8
Lattice="5.620 0.000 0.000 2.810 4.867 0.000 2.810 1.622 9.203" Properties=species:S:1:pos:R:3 pbc="T T T"
La 5.620 3.244 8.047
La 8.429 4.867 3.445
La 2.810 1.622 5.759
La 5.620 3.244 1.156
Tl 8.429 4.867 7.023
Tl 2.810 1.622 2.181
Hg 0.000 0.000 0.000
Pb 5.620 3.244 4.602
```

Results
size of the total moment: 0.0 μB per cell
ΔE_f: -0.48 eV/atom
calculated total energy: -4.034 eV per atom
D(E_F): 1.18 states/eV/atom

=====

# 3
The following is a DFT calculation (PBE) of crystalline TlCo2Sb at its relaxed geometry.

extended XYZ file:
```
4
Lattice="4.552 0.000 0.000 0.000 4.538 0.000 0.000 0.000 3.223" Properties=species:S:1:pos:R:3 pbc="T T T"
Co 0.000 0.000 0.000
Co 2.276 2.269 0.000
Sb 2.276 0.000 1.612
Tl 0.000 2.269 1.612
```

Results
size of the total moment: 1.9 μB per cell
ΔE to the lowest computed polymorph: 0.186 eV/atom
calculated total energy: -4.738 eV per atom
D(E_F): 0.49 states/eV/atom

=====

# 4
The following is a DFT calculation (PBE) of crystalline SrZrBe2 at its relaxed geometry.

extended XYZ file:
```
4
Lattice="3.934 0.000 0.000 0.000 3.321 0.002 0.000 1.661 6.480" Properties=species:S:1:pos:R:3 pbc="T T T"
Sr 0.000 2.284 2.870
Zr 1.967 3.945 5.670
Be 0.000 0.621 0.089
Be 1.967 0.623 1.094
```

Results
size of the total moment: 0.0 μB per cell
ΔE to the lowest computed polymorph: 0.086 eV/atom
ΔE_f: 0.32 eV/atom
calculated total energy: -4.097 eV per atom
D(E_F): 1.01 states/eV/atom

=====

# 5
The following is a DFT calculation (PBE) of crystalline NaTaZn at its relaxed geometry.

extended XYZ file:
```
6
Lattice="-2.853 -2.381 -0.031 1.789 -2.288 11.179 -1.865 2.226 0.754" Properties=species:S:1:pos:R:3 pbc="T T T"
Na 0.660 -0.844 4.127
Na -1.231 -1.520 7.414
Zn 1.443 -1.845 9.015
Zn -2.013 -0.520 2.526
Ta 0.126 -0.161 0.786
Ta -0.696 -2.204 10.755
```

Results
size of the total moment: 0.0 μB per cell
ΔE to the lowest computed polymorph: 0.018 eV/atom
ΔE_f: 0.16 eV/atom
calculated total energy: -4.660 eV per atom
D(E_F): 0.40 states/eV/atom

=====

# 6
The following is a DFT calculation (PBE) of crystalline SrHf2MgTi at its relaxed geometry.

extended XYZ file:
```
5
Lattice="5.111 0.000 0.000 0.000 5.148 0.000 0.000 0.000 5.111" Properties=species:S:1:pos:R:3 pbc="T T T"
Sr 0.000 0.000 0.000
Mg 0.000 2.574 0.000
Hf 0.000 0.000 2.556
Hf 2.556 0.000 0.000
Ti 2.556 2.574 2.556
```

Results
size of the total moment: 0.0 μB per cell
ΔE_f: 2.00 eV/atom
calculated total energy: -4.215 eV per atom
D(E_F): 2.05 states/eV/atom

=====

> What is the formula in the first record?

Rb3Na4Au2

=====

> What is the formula in the fourth record?

SrZrBe2

=====

> size of the total moment of number 6 (SrHf2MgTi)?

0.0 μB per cell

=====

> What is the formula in the fourth record?

SrZrBe2